Record 1
Computed, not measured: a geometry-optimized Pr4NO5 structure at the PBE-GGA level of DFT.

Lattice parameters (Å, degrees): 15.599 3.697 5.981 90.00 90.83 90.00
Space group C2/m (No. 12)
Unique sites:
Pr  0.059  0.000  0.246 [4 per cell]
Pr  0.201  0.500  0.749 [4 per cell]
N  0.000  0.500  0.500 [2 per cell]
O  0.000  0.500  0.000 [2 per cell]
O  0.176  0.000  0.002 [4 per cell]
O  0.176  0.000  0.492 [4 per cell]

Summary:
The calculation puts the raw formation energy at -2.7291 eV per atom.

---

Record 2
Computed, not measured: a geometry-optimized PrN2O2 structure at the PBE-GGA level of DFT.

Lattice parameters (Å, degrees): 6.641 3.807 9.308 90.00 109.93 90.00
Space group C2/m (No. 12)
Unique sites:
Pr  0.000  0.000  0.000 [2 per cell]
N  0.024  0.500  0.448 [4 per cell]
O  0.220  0.500  0.108 [4 per cell]

Summary:
The calculation puts the raw formation energy at -1.3266 eV per atom. As for the density of states at the Fermi level: 2.57 states/eV/f.u.